No. 1
# ScAu2Cl

Crystalline ScAu2Cl at its relaxed geometry (GGA-PBEsol, the Alexandria database).

Output
Distance to the lowest polymorph of the same formula   0.000 eV per atom
Formation energy from raw total energies   -3.1 eV per formula unit
Symmetry   Pm, No. 6

a = 3.283 Å, b = 3.590 Å, c = 7.422 Å
α = 102.03°, β = 90.00°, γ = 90.00°
Element x y z (fractional)
Au1 0.000 0.047 0.984
Au2 0.500 0.633 0.182
Sc1 0.500 0.466 0.796
Cl1 0.000 0.354 0.539



No. 2
# NbAsSeN2

Crystalline NbAsSeN2 at its relaxed geometry (GGA-PBEsol, the Alexandria database).

Output
Formation energy from raw total energies   5.7 eV per formula unit
Symmetry   P4/mmm, No. 123

a = 3.808 Å, b = 3.808 Å, c = 4.860 Å
α = 90.00°, β = 90.00°, γ = 90.00°
Element x y z (fractional)
Se1 0.000 0.000 0.500
N1 0.000 0.500 0.000
N2 0.500 0.000 0.000
Nb1 0.500 0.500 0.500
As1 0.000 0.000 0.000



No. 3
# NbGeAu3

Crystalline NbGeAu3 at its relaxed geometry (GGA-PBEsol, the Alexandria database).

Output
E_form   0.824 eV/atom
Symmetry   Pm-3m, No. 221

a = 4.716 Å, b = 4.716 Å, c = 4.716 Å
α = 90.00°, β = 90.00°, γ = 90.00°
Element x y z (fractional)
Au1 0.500 0.000 0.000
Au2 0.000 0.000 0.500
Au3 0.000 0.500 0.000
Nb1 0.500 0.500 0.500
Ge1 0.000 0.000 0.000



No. 4
# FeW2SCl

Crystalline FeW2SCl at its relaxed geometry (GGA-PBEsol, the Alexandria database).

Output
Formation energy from raw total energies   5.9 eV per formula unit
Symmetry   P4/mmm, No. 123

a = 4.003 Å, b = 4.486 Å, c = 4.486 Å
α = 90.00°, β = 90.00°, γ = 90.00°
Element x y z (fractional)
Fe1 0.500 0.000 0.000
W1 0.000 0.000 0.500
W2 0.000 0.500 0.000
Cl1 0.500 0.500 0.500
S1 0.000 0.000 0.000



No. 5
# TaRhAu4

Crystalline TaRhAu4 at its relaxed geometry (GGA-PBEsol, the Alexandria database).

Output
E_form   0.322 eV/atom
Symmetry   F-43m, No. 216

a = 5.251 Å, b = 5.251 Å, c = 5.251 Å
α = 60.00°, β = 60.00°, γ = 60.00°
Element x y z (fractional)
Au1 0.625 0.625 0.125
Au2 0.125 0.625 0.625
Au3 0.625 0.625 0.625
Au4 0.625 0.125 0.625
Ta1 0.000 0.000 0.000
Rh1 0.250 0.250 0.250



No. 6
# RbLaP2Au

Crystalline RbLaP2Au at its relaxed geometry (GGA-PBEsol, the Alexandria database).

Output
E_form   0.279 eV/atom
Symmetry   P4/mmm, No. 123

a = 5.143 Å, b = 5.143 Å, c = 5.307 Å
α = 90.00°, β = 90.00°, γ = 90.00°
Element x y z (fractional)
P1 0.500 0.000 0.000
P2 0.000 0.500 0.000
Rb1 0.500 0.500 0.500
Au1 0.000 0.000 0.000
La1 0.000 0.000 0.500



No. 7
# ScCrNi

Crystalline ScCrNi at its relaxed geometry (GGA-PBEsol, the Alexandria database).

Output
Distance to the lowest polymorph of the same formula   0.282 eV per atom
E_form   0.399 eV/atom
Symmetry   P3m1, No. 156

a = 2.805 Å, b = 2.805 Å, c = 6.179 Å
α = 90.00°, β = 90.00°, γ = 120.00°
Element x y z (fractional)
Ni1 0.667 0.333 0.689
Sc1 0.333 0.667 0.333
Cr1 0.000 0.000 0.978



No. 8
# Er2CuPt

Crystalline Er2CuPt at its relaxed geometry (GGA-PBEsol, the Alexandria database).

Output
E_form   -0.772 eV/atom
Symmetry   Fm-3m, No. 225

a = 4.796 Å, b = 4.796 Å, c = 4.796 Å
α = 60.00°, β = 60.00°, γ = 60.00°
Element x y z (fractional)
Pt1 0.500 0.500 0.500
Cu1 0.000 0.000 0.000
Er1 0.250 0.250 0.250
Er2 0.750 0.750 0.750



No. 9
# CdIn2Ag

Crystalline CdIn2Ag at its relaxed geometry (GGA-PBEsol, the Alexandria database).

Output
E_form   0.020 eV/atom
Symmetry   R3m, No. 160

a = 3.294 Å, b = 3.294 Å, c = 9.352 Å
α = 79.86°, β = 79.86°, γ = 60.00°
Element x y z (fractional)
Ag1 0.501 0.501 0.497
Cd1 0.245 0.245 0.266
In1 0.998 0.998 0.005
In2 0.756 0.756 0.731



No. 10
# ReGeSb3

Crystalline ReGeSb3 at its relaxed geometry (GGA-PBEsol, the Alexandria database).

Output
Distance to the lowest polymorph of the same formula   0.876 eV per atom
Formation energy from raw total energies   8.4 eV per formula unit
Symmetry   Pm-3m, No. 221

a = 5.097 Å, b = 5.097 Å, c = 5.097 Å
α = 90.00°, β = 90.00°, γ = 90.00°
Element x y z (fractional)
Ge1 0.000 0.000 0.000
Sb1 0.000 0.500 0.000
Sb2 0.500 0.000 0.000
Sb3 0.000 0.000 0.500
Re1 0.500 0.500 0.500



No. 11
# LaMn2Pb

Crystalline LaMn2Pb at its relaxed geometry (GGA-PBEsol, the Alexandria database).

Output
E_form   0.229 eV/atom
Symmetry   P4mm, No. 99

a = 3.239 Å, b = 3.239 Å, c = 7.807 Å
α = 90.00°, β = 90.00°, γ = 90.04°
Element x y z (fractional)
Mn1 0.500 0.500 0.799
Mn2 0.000 0.000 0.935
La1 0.500 0.500 0.211
Pb1 0.000 0.000 0.555



No. 12
# BeCoSi4

Crystalline BeCoSi4 at its relaxed geometry (GGA-PBEsol, the Alexandria database).

Output
Formation energy from raw total energies   3.7 eV per formula unit
Symmetry   F-43m, No. 216

a = 4.787 Å, b = 4.787 Å, c = 4.787 Å
α = 60.00°, β = 60.00°, γ = 60.00°
Element x y z (fractional)
Be1 0.750 0.750 0.750
Si1 0.375 0.375 0.375
Si2 0.375 0.375 0.874
Si3 0.375 0.874 0.375
Si4 0.874 0.375 0.375
Co1 0.000 0.000 0.000



Number 1: calculated volume 86 Å³/cell. Number 2: calculated volume 70 Å³/cell. Number 3: calculated volume 105 Å³/cell. Number 4: calculated volume 81 Å³/cell. Number 5: calculated volume 102 Å³/cell. Number 6: calculated volume 140 Å³/cell. Number 7: calculated volume 42 Å³/cell. Number 8: calculated volume 78 Å³/cell. Number 9: calculated volume 86 Å³/cell. Number 10: calculated volume 132 Å³/cell. Number 11: calculated volume 82 Å³/cell. Number 12: calculated volume 78 Å³/cell.